Computed, not measured: As3RhF after structural relaxation at the PBE-GGA level of DFT.

Its polymorph energy (0 for the lowest one) is 0.000 eV per atom. The formation energy (no corrections) is 0.298 eV/atom. For the density of states at the Fermi level, the calculation gives 7.2 states/eV per cell.

The space group is Pm-3m (No. 221) and the conventional cell measures 4.8076, 4.8076 and 4.8076 Å, with angles of 90.00, 90.00 and 90.00 degrees. The asymmetric unit holds As at (0.0000, 0.0000, 0.5000), Rh at (0.0000, 0.0000, 0.0000) and F at (0.5000, 0.5000, 0.5000).